U2SiC: relaxed, PBE-GGA.

Cell: 3.9128 3.9128 5.6504 Å, 69.74 69.74 60.00°
Fractional positions:
U 0.7759 0.7759 0.6723
C 0.5000 0.5000 0.5000
U 0.2241 0.2241 0.3277
Si 0.0000 0.0000 0.0000

Computed properties:
Formation energy without anion corrections   0.05 eV/atom
Calculated total energy   -37.016 eV per cell
Crystal system   trigonal
DOS at the Fermi energy   6.35 states/eV/cell



U6Si2C: relaxed, PBE-GGA.

Cell: 7.5444 5.0811 5.0812 Å, 120.82 89.51 89.51°
Site moments in Bohr magnetons follow the coordinates.
Fractional positions:
Si 0.5000 0.7511 0.2489  -0.01
Si 0.5000 0.2489 0.7510  -0.01
U 0.2862 0.7553 0.7553  0.90
U 0.8319 0.5719 0.8956  0.32
U 0.1681 0.1044 0.4282  0.32
U 0.7138 0.2447 0.2447  0.90
U 0.8319 0.8956 0.5718  0.32
C 0.0000 0.0000 0.0000  -0.02
U 0.1681 0.4281 0.1044  0.32

Computed properties:
Formation energy without anion corrections   0.00 eV/atom
Calculated total energy   -87.773 eV per cell
Crystal system   monoclinic
DOS at the Fermi energy   21.49 states/eV/cell



Zr2USiC4: relaxed, PBE-GGA.

Cell: 3.3055 5.7873 11.3636 Å, 90.00 90.00 106.59°
Site moments in Bohr magnetons follow the coordinates.
Fractional positions:
C 0.7294 0.4588 0.8725  -0.03
Zr 0.6325 0.2649 0.4535  0.01
C 0.7294 0.4588 0.6275  -0.03
C 0.2706 0.5412 0.3725  -0.03
C 0.0000 0.0000 0.5000  -0.02
U 0.8941 0.7882 0.2500  1.47
U 0.1059 0.2118 0.7500  1.47
Si 0.8402 0.6803 0.7500  0.00
C 0.4383 0.8765 0.7500  -0.02
Zr 0.3675 0.7351 0.9535  0.01
C 0.2706 0.5412 0.1275  -0.03
C 0.5617 0.1235 0.2500  -0.02
Zr 0.3675 0.7351 0.5465  0.01
Zr 0.6325 0.2649 0.0465  0.01
C 0.0000 0.0000 0.0000  -0.02
Si 0.1598 0.3197 0.2500  0.00

Computed properties:
Formation energy without anion corrections   -0.31 eV/atom
Calculated total energy   -146.290 eV per cell
Crystal system   orthorhombic
DOS at the Fermi energy   9.35 states/eV/cell



VSiC2: relaxed, PBE-GGA.

Cell: 4.5383 4.5383 5.3960 Å, 65.13 65.13 90.00°
Site moments in Bohr magnetons follow the coordinates.
Fractional positions:
Si 0.2500 0.7500 0.5000  0.01
Si 0.5000 0.5000 0.0000  0.01
C 0.1406 0.6250 0.2500  -0.03
V 0.7500 0.2500 0.5000  0.60
C 0.8750 0.8594 0.7500  -0.03
C 0.6094 0.1250 0.2500  -0.03
V 0.0000 0.0000 0.0000  0.60
C 0.3750 0.3906 0.7500  -0.03

Computed properties:
Formation energy without anion corrections   0.20 eV/atom
Calculated total energy   -64.354 eV per cell
Crystal system   tetragonal
DOS at the Fermi energy   4.67 states/eV/cell



V7SiC2: relaxed, PBE-GGA.

Cell: 3.8829 6.0658 6.0658 Å, 115.49 90.00 90.00°
Fractional positions:
V 0.5000 0.5000 0.5000
Si 0.0000 0.0000 0.0000
V 0.5000 0.6639 0.9253
C 0.5000 0.2933 0.7067
V 0.0000 0.2609 0.7391
C 0.5000 0.7067 0.2933
V 0.5000 0.0747 0.3361
V 0.5000 0.9253 0.6639
V 0.0000 0.7391 0.2609
V 0.5000 0.3361 0.0747

Computed properties:
Formation energy without anion corrections   -0.05 eV/atom
Calculated total energy   -88.170 eV per cell
Crystal system   orthorhombic
DOS at the Fermi energy   8.00 states/eV/cell



V6Si2C: relaxed, PBE-GGA.

Cell: 4.9659 6.0516 7.6303 Å, 90.00 90.91 90.00°
Fractional positions:
V 0.1046 0.0085 0.7593
V 0.1488 0.3316 0.0425
V 0.6535 0.1923 0.9541
V 0.8512 0.6684 0.9575
Si 0.0725 0.6134 0.2571
V 0.6488 0.1684 0.5425
V 0.3954 0.5085 0.7407
Si 0.9275 0.3866 0.7429
Si 0.5725 0.8866 0.7571
V 0.3512 0.8316 0.4575
V 0.6046 0.4915 0.2593
V 0.8954 0.9915 0.2407
C 0.0000 0.0000 0.5000
Si 0.4275 0.1134 0.2429
V 0.8465 0.6923 0.5459
C 0.5000 0.5000 0.0000
V 0.1535 0.3077 0.4541
V 0.3465 0.8077 0.0459

Computed properties:
Formation energy without anion corrections   -0.39 eV/atom
Calculated total energy   -156.538 eV per cell
Crystal system   monoclinic
DOS at the Fermi energy   10.93 states/eV/cell



V12Si5C2: relaxed, PBE-GGA.

Cell: 6.0651 7.2673 7.0075 Å, 105.53 90.00 114.66°
Fractional positions:
V 0.5996 0.7291 0.4509
V 0.5116 0.0233 0.2107
V 0.0763 0.6876 0.9163
V 0.4884 0.9767 0.7893
C 0.7304 0.0000 0.0000
Si 0.7164 0.4329 0.3561
Si 0.3143 0.6285 0.1573
V 0.6113 0.6876 0.9163
V 0.4004 0.2709 0.5491
Si 0.2836 0.5671 0.6439
V 0.3887 0.3124 0.0837
V 0.0029 0.0059 0.1724
Si 0.0000 0.0000 0.5000
V 0.9971 0.9941 0.8276
V 0.9237 0.3124 0.0837
C 0.2696 0.0000 0.0000
V 0.8706 0.2709 0.5491
V 0.1294 0.7291 0.4509
Si 0.6857 0.3715 0.8427

Computed properties:
Formation energy without anion corrections   -0.12 eV/atom
Calculated total energy   -157.186 eV per cell
Crystal system   monoclinic
DOS at the Fermi energy   16.59 states/eV/cell



V6SiC3: relaxed, PBE-GGA.

Cell: 2.9964 8.7461 8.8447 Å, 108.56 90.00 90.00°
Fractional positions:
V 0.7500 0.9203 0.0789
V 0.2500 0.0797 0.9211
C 0.2500 0.8420 0.9167
V 0.7500 0.6949 0.2565
Si 0.2500 0.9336 0.2994
V 0.7500 0.4880 0.6172
C 0.7500 0.1580 0.0833
C 0.2500 0.3328 0.5066
V 0.7500 0.3835 0.0486
V 0.2500 0.6165 0.9514
C 0.7500 0.4605 0.8478
V 0.2500 0.8476 0.5324
Si 0.7500 0.0664 0.7006
V 0.2500 0.2053 0.2463
V 0.7500 0.7947 0.7537
V 0.2500 0.5120 0.3828
C 0.2500 0.5395 0.1522
C 0.7500 0.6672 0.4934
V 0.2500 0.3051 0.7435
V 0.7500 0.1524 0.4676

Computed properties:
Formation energy without anion corrections   -0.47 eV/atom
Calculated total energy   -185.064 eV per cell
Crystal system   monoclinic
DOS at the Fermi energy   11.74 states/eV/cell



V7Si2C2: relaxed, PBE-GGA.

Cell: 2.9550 7.3128 7.3128 Å, 57.01 78.34 78.34°
Fractional positions:
Si 0.0000 0.7389 0.2611
V 0.5000 0.0144 0.9856
V 0.8186 0.0794 0.2833
V 0.1814 0.7167 0.9206
C 0.7462 0.8470 0.6605
V 0.3654 0.7403 0.5290
V 0.8379 0.4373 0.8869
V 0.1621 0.1131 0.5627
Si 0.5000 0.3561 0.6439
C 0.2538 0.3395 0.1530
V 0.6346 0.4710 0.2597

Computed properties:
Formation energy without anion corrections   -0.35 eV/atom
Calculated total energy   -96.959 eV per cell
Crystal system   orthorhombic
DOS at the Fermi energy   7.03 states/eV/cell



V6SiC: relaxed, PBE-GGA.

Cell: 4.5745 4.5745 4.5745 Å, 90.00 90.00 90.00°
Fractional positions:
V 0.0000 0.5000 0.7428
V 0.5000 0.2572 0.0000
V 0.5000 0.7428 0.0000
V 0.7428 0.0000 0.5000
Si 0.0000 0.0000 0.0000
C 0.5000 0.5000 0.5000
V 0.2572 0.0000 0.5000
V 0.0000 0.5000 0.2572

Computed properties:
Formation energy without anion corrections   -0.04 eV/atom
Calculated total energy   -69.661 eV per cell
Crystal system   cubic
DOS at the Fermi energy   13.67 states/eV/cell



V2SiC: relaxed, PBE-GGA.

Cell: 2.9308 2.8856 6.5281 Å, 100.58 90.00 120.52°
Fractional positions:
V 0.7133 0.9266 0.6759
C 0.0000 0.5000 0.5000
Si 0.5000 0.5000 0.0000
V 0.2867 0.0734 0.3241

Computed properties:
Formation energy without anion corrections   -0.43 eV/atom
Calculated total energy   -34.588 eV per cell
Crystal system   monoclinic
DOS at the Fermi energy   3.78 states/eV/cell



VSiC3: relaxed, PBE-GGA.

Cell: 3.9205 3.9205 3.9205 Å, 90.00 90.00 90.00°
Fractional positions:
C 0.0000 0.5000 0.0000
C 0.5000 0.0000 0.0000
C 0.0000 0.0000 0.5000
V 0.0000 0.0000 0.0000
Si 0.5000 0.5000 0.5000

Computed properties:
Formation energy without anion corrections   1.95 eV/atom
Calculated total energy   -32.451 eV per cell
Crystal system   cubic
DOS at the Fermi energy   4.32 states/eV/cell



Which of these has the lowest formation energy without anion corrections? V6SiC3